First-principles (PBE) data for crystalline BaCa2Te at its relaxed geometry, as listed in Alexandria via LeMat-Bulk.

The structure belongs to space group C2/m (No. 12); the cell edges are 7.223, 13.011 and 4.374 Å and the angles 90.00°, 127.04° and 90.00°. The asymmetric unit holds Ba at (0.000, 0.000, 0.000), Ca at (0.250, 0.250, 0.500) and Te at (0.000, 0.500, 0.000).

The calculation puts the formation energy from raw total energies at -2.09 eV per formula unit. The mass density comes out at 3.492 g/cm3. The magnetic moment is 0.000 μB per atom.